Density functional theory data (PBE) for a relaxed structure of TbDyPu2S4.

The space group is P2/m (No. 10) and the conventional cell measures 6.798, 3.925 and 6.846 Å, with angles of 90.00, 109.32 and 90.00 degrees. The inequivalent atoms are Tb at (0.000, 0.000, 0.000), Dy at (0.500, 0.500, 0.000), Pu at (0.000, 0.500, 0.500), Pu at (0.500, 0.000, 0.500), S at (0.250, 0.500, 0.248) and S at (0.252, 0.000, 0.753).

The formation energy (no corrections) is -184.5 kJ per mole of atoms. Its total energy is -8.713 eV/atom. The calculation puts the density at 9.0 g cm⁻³.